Y2MgTiO: optimized geometry, PBE-GGA.

```
Y2MgTiO
1.0
-2.519 -1.101 4.213
-1.247 -4.481 -1.917
3.343 -1.606 1.579
Y O Ti Mg
2 1 1 1
direct
0.500 0.000 0.000
0.000 0.500 0.000
0.000 0.000 0.000
0.000 0.000 0.500
0.500 0.500 0.500
```

uncorrected energy = -6.59 eV per atom
formation energy without anion corrections = -107.3 kJ per mole of atoms